Mn3WO | Alexandria via LeMat-Bulk | GGA+U | optimized geometry; magnetic moment = 8.99 μB/f.u.; final energy = -6.80 eV/atom; excess energy over the best structure of this formula in the dataset = 0.000 eV/atom; DOS at the Fermi energy = 3.9 states/eV/cell
1.0
-2.8436 -1.6746 2.8261
3.2652 -1.0310 2.6745
-0.3602 3.8743 1.9333
Mn O W
3 1 1
Cartesian
1.6326 -0.5155 1.3372
-1.4218 -0.8373 1.4131
-0.1801 1.9371 0.9666
0.0000 0.0000 0.0000
0.0307 0.5843 3.7169